Entry 1:
DFT (PBE) results for a geometry-optimized Dy6Ga2TeSe3 structure.

Cell: 9.3541 9.3541 8.5745 Å, 103.69 103.69 24.92°
Atoms (fractional coordinates):
Dy1 0.0073 0.0073 0.2680
Dy2 0.3282 0.3282 0.9051
Dy3 0.3330 0.3330 0.4129
Dy4 0.6670 0.6670 0.5871
Dy5 0.6718 0.6718 0.0949
Dy6 0.9927 0.9927 0.7320
Ga1 0.1690 0.1690 0.3389
Ga2 0.8310 0.8310 0.6611
Te1 0.5000 0.5000 0.0000
Se1 0.1619 0.1619 0.8369
Se2 0.5000 0.5000 0.5000
Se3 0.8381 0.8381 0.1631

uncorrected formation energy = -15.6 eV per formula unit

Entry 2:
DFT (PBE) results for a geometry-optimized Li2Ce3As4Pd2 structure.

Cell: 4.3620 4.3620 14.5593 Å, 90.00 90.00 120.00°
Atoms (fractional coordinates):
Li1 0.3333 0.6667 0.0582
Li2 0.6667 0.3333 0.9418
Ce1 0.0000 0.0000 0.2299
Ce2 0.0000 0.0000 0.5000
Ce3 0.0000 0.0000 0.7701
As1 0.3333 0.6667 0.3724
As2 0.3333 0.6667 0.8742
As3 0.6667 0.3333 0.1258
As4 0.6667 0.3333 0.6276
Pd1 0.3333 0.6667 0.6432
Pd2 0.6667 0.3333 0.3568

DFT formation energy = -1.0660 eV per atom

Entry 3:
DFT (PBE) results for a geometry-optimized Zr2NpSn structure.

Cell: 4.6923 4.6923 4.1308 Å, 90.00 90.00 90.00°
Atoms (fractional coordinates):
Zr1 0.0000 0.5000 0.0000
Zr2 0.5000 0.0000 0.0000
Np1 0.0000 0.0000 0.5000
Sn1 0.5000 0.5000 0.5000

energy above the lowest structure with this stoichiometry = 0.0 meV per atom
DFT formation energy = -0.1223 eV per atom

Entry 4:
DFT (PBE) results for a geometry-optimized TcP2Pb structure.

Cell: 7.0399 7.0399 7.0399 Å, 130.58 130.58 72.49°
Atoms (fractional coordinates):
Tc1 0.0000 0.0000 0.0000
Tc2 0.7500 0.2500 0.5000
P1 0.0421 0.6250 0.9171
P2 0.3750 0.2921 0.4171
P3 0.7079 0.1250 0.0829
P4 0.8750 0.9579 0.5829
Pb1 0.2500 0.7500 0.5000
Pb2 0.5000 0.5000 0.0000

DFT formation energy = 0.0764 eV per atom

Entry 5:
DFT (PBE) results for a geometry-optimized La2Y2Tm5 structure.

Cell: 3.4788 8.3030 10.8988 Å, 79.50 80.83 89.95°
Atoms (fractional coordinates):
La1 0.1817 0.1423 0.1372
La2 0.8183 0.8577 0.8628
Y1 0.4544 0.6439 0.5908
Y2 0.5456 0.3561 0.4092
Tm1 0.0000 0.0000 0.5000
Tm2 0.0970 0.7321 0.3050
Tm3 0.3093 0.4685 0.8819
Tm4 0.6907 0.5315 0.1181
Tm5 0.9030 0.2679 0.6950

energy above the lowest structure with this stoichiometry = 12.3 meV per atom
DFT formation energy = 0.2174 eV per atom

Entry 6:
DFT (PBE) results for a geometry-optimized Tb7CuBr12 structure.

Cell: 9.1902 9.1902 9.1902 Å, 107.90 107.90 107.90°
Atoms (fractional coordinates):
Tb1 0.0000 0.0000 0.0000
Tb2 0.1780 0.4620 0.3869
Tb3 0.3869 0.1780 0.4620
Tb4 0.4620 0.3869 0.1780
Tb5 0.5380 0.6131 0.8220
Tb6 0.6131 0.8220 0.5380
Tb7 0.8220 0.5380 0.6131
Cu1 0.5000 0.5000 0.5000
Br1 0.0233 0.1059 0.3393
Br2 0.1059 0.3393 0.0233
Br3 0.1859 0.5752 0.7226
Br4 0.2774 0.8141 0.4248
Br5 0.3393 0.0233 0.1059
Br6 0.4248 0.2774 0.8141
Br7 0.5752 0.7226 0.1859
Br8 0.6607 0.9767 0.8941
Br9 0.7226 0.1859 0.5752
Br10 0.8141 0.4248 0.2774
Br11 0.8941 0.6607 0.9767
Br12 0.9767 0.8941 0.6607

uncorrected formation energy = -30.4 eV per formula unit

Entry 7:
DFT (PBE) results for a geometry-optimized Mg3ScPd structure.

Cell: 4.4893 6.7842 7.0012 Å, 90.00 90.00 90.00°
Atoms (fractional coordinates):
Mg1 0.2500 0.0392 0.1854
Mg2 0.2500 0.2500 0.7747
Mg3 0.2500 0.4608 0.1854
Mg4 0.7500 0.5392 0.8146
Mg5 0.7500 0.7500 0.2253
Mg6 0.7500 0.9608 0.8146
Sc1 0.2500 0.7500 0.5527
Sc2 0.7500 0.2500 0.4473
Pd1 0.2500 0.7500 0.9320
Pd2 0.7500 0.2500 0.0680

energy above the lowest structure with this stoichiometry = 0.0 meV per atom
DFT formation energy = -0.2682 eV per atom

Entry 8:
DFT (PBE) results for a geometry-optimized Cs2Ce2PmS6 structure.

Cell: 7.2303 7.2303 8.5431 Å, 97.99 97.99 120.03°
Atoms (fractional coordinates):
Cs1 0.1657 0.8343 0.0000
Cs2 0.8343 0.1657 0.0000
Ce1 0.3341 0.6659 0.5000
Ce2 0.6659 0.3341 0.5000
Pm1 0.0000 0.0000 0.5000
S1 0.0558 0.3955 0.6772
S2 0.2767 0.2767 0.3221
S3 0.3955 0.0558 0.6772
S4 0.6045 0.9442 0.3228
S5 0.7233 0.7233 0.6779
S6 0.9442 0.6045 0.3228

uncorrected formation energy = -20.2 eV per formula unit